VASP calculation (PBE) on crystalline RbCrGa2Cl8 at its relaxed geometry.

Lattice parameters (Å, degrees): 10.2300 10.2300 10.2300 37.07 37.07 37.07
Closest atoms and distances in Å follow each position.
Sites, in units of the cell vectors:
Rb  0.0000  0.0000  0.0000  12 Cl 3.76-3.89
Cr  0.5000  0.5000  0.5000  6 Cl 2.66
Ga  0.2460  0.2460  0.2460  4 Cl 2.22-2.23
Ga  0.7540  0.7540  0.7540  4 Cl 2.22-2.23
Cl  0.1095  0.4562  0.7683  1 Ga 2.23
Cl  0.2317  0.8905  0.5438  1 Ga 2.23
Cl  0.3237  0.3237  0.3237  1 Ga 2.22
Cl  0.4562  0.7683  0.1095  1 Ga 2.23
Cl  0.5438  0.2317  0.8905  1 Ga 2.23
Cl  0.6763  0.6763  0.6763  1 Ga 2.22
Cl  0.7683  0.1095  0.4562  1 Ga 2.23
Cl  0.8905  0.5438  0.2317  1 Ga 2.23

## Properties
- DFT total energy (eV/atom) = -3.75



VASP calculation (PBE) on crystalline Zn2IrCl at its relaxed geometry.

Lattice parameters (Å, degrees): 2.9804 2.9804 8.4770 90.00 90.00 120.82
Closest atoms and distances in Å follow each position.
Sites, in units of the cell vectors:
Zn  0.0000  0.0000  0.0000  2 Ir 2.51, 2 Zn 2.61
Zn  0.5000  0.5000  0.2538  2 Cl 2.46, 2 Zn 2.61
Ir  0.5000  0.5000  0.7596  2 Zn 2.51, 2 Cl 2.75
Cl  0.0000  0.0000  0.4859  2 Zn 2.46, 2 Ir 2.75

## Properties
- DFT total energy (eV/atom) = -3.05



VASP calculation (PBE) on crystalline PrLuAlAu at its relaxed geometry.

Lattice parameters (Å, degrees): 5.1924 5.1924 5.1924 60.00 60.00 60.00
Closest atoms and distances in Å follow each position.
Sites, in units of the cell vectors:
Pr  0.0000  0.0000  0.0000  4 Al 3.18, 4 Au 3.18
Lu  0.5000  0.5000  0.5000  4 Al 3.18, 4 Au 3.18
Al  0.7500  0.7500  0.7500  4 Pr 3.18, 4 Lu 3.18
Au  0.2500  0.2500  0.2500  4 Pr 3.18, 4 Lu 3.18

## Properties
- calculated formation energy (meV/atom) = -509



VASP calculation (PBE) on crystalline ZnGaP2 at its relaxed geometry.

Lattice parameters (Å, degrees): 4.4980 4.4980 4.4980 60.00 60.00 60.00
Closest atoms and distances in Å follow each position.
Sites, in units of the cell vectors:
Zn  0.0000  0.0000  0.0000  8 P 2.75
Ga  0.5000  0.5000  0.5000  8 P 2.75
P  0.2500  0.2500  0.2500  4 Zn 2.75, 4 Ga 2.75
P  0.7500  0.7500  0.7500  4 Zn 2.75, 4 Ga 2.75

## Properties
- calculated formation energy (meV/atom) = 399



Number 1: N(E_F) 0.571 states/eV per atom. Number 2: N(E_F) 0.768 states/eV per atom. Number 3: N(E_F) 0.799 states/eV per atom. Number 4: N(E_F) 0.471 states/eV per atom.